Li2MgMnCd (PBE-GGA, relaxed); SG = No. 123; E_tot = -2.602 eV/atom; N(E_F) = 3.3 states/eV/cell; DFT formation energy = 0.50 eV/atom
1.0
4.905 0.000 0.000
0.000 4.905 0.000
0.000 0.000 5.110
Li Mg Mn Cd
2 1 1 1
direct
0.000 0.500 0.000 Li
0.500 0.000 0.000 Li
0.000 0.000 0.500 Mg
0.500 0.500 0.500 Mn
0.500 0.500 0.000 Cd

---

Sr6Sb2SeI3 (PBE-GGA, relaxed); ΔE_f (raw) = -1.42 eV/atom; SG = No. 12; E_tot = -3.630 eV/atom; N(E_F) = 3.8 states/eV/cell
1.0
4.112 -7.120 0.000
4.112 7.120 0.000
-2.734 0.000 7.821
Sr Sb Se I
6 2 1 3
direct
0.071 0.398 0.213 Sr
0.256 0.256 0.787 Sr
0.398 0.071 0.213 Sr
0.602 0.929 0.787 Sr
0.744 0.744 0.213 Sr
0.929 0.602 0.787 Sr
0.333 0.667 0.000 Sb
0.667 0.333 0.000 Sb
0.000 0.000 0.000 Se
0.166 0.834 0.500 I
0.500 0.500 0.500 I
0.834 0.166 0.500 I

---

AlCr6Fe2 (PBE-GGA, relaxed); SG = No. 12; E_tot = -8.335 eV/atom; N(E_F) = 10.7 states/eV/cell; DFT formation energy = 0.38 eV/atom
1.0
4.326 -2.456 0.000
4.326 2.456 0.000
-0.243 0.000 5.245
Al Cr Fe
1 6 2
direct
0.000 0.000 0.000 Al
0.063 0.482 0.760 Cr
0.226 0.774 0.500 Cr
0.482 0.063 0.760 Cr
0.518 0.937 0.240 Cr
0.774 0.226 0.500 Cr
0.937 0.518 0.240 Cr
0.435 0.435 0.164 Fe
0.565 0.565 0.836 Fe

---

Tb2Pm4Er2Tm (PBE-GGA, relaxed); SG = No. 12; E_tot = -4.630 eV/atom; N(E_F) = 13.4 states/eV/cell; DFT formation energy = 0.02 eV/atom
1.0
7.606 -2.532 0.000
7.606 2.532 0.000
-2.537 0.000 7.583
Tb Pm Er Tm
2 4 2 1
direct
0.112 0.112 0.170 Tb
0.888 0.888 0.830 Tb
0.222 0.222 0.832 Pm
0.446 0.446 0.169 Pm
0.554 0.554 0.831 Pm
0.778 0.778 0.168 Pm
0.333 0.333 0.500 Er
0.667 0.667 0.500 Er
0.000 0.000 0.500 Tm

---

PuAuS (PBE-GGA, relaxed); ΔE_f (raw) = -0.32 eV/atom; SG = No. 63; E_tot = -7.569 eV/atom; N(E_F) = 6.0 states/eV/cell
1.0
2.424 -8.213 0.000
2.424 8.213 0.000
0.000 0.000 3.396
Pu Au S
2 2 2
direct
0.050 0.950 0.750 Pu
0.950 0.050 0.250 Pu
0.400 0.600 0.750 Au
0.600 0.400 0.250 Au
0.171 0.829 0.250 S
0.829 0.171 0.750 S

---

TaCr2Te (PBE-GGA, relaxed); ΔE_f (raw) = 0.50 eV/atom; SG = No. 166; E_tot = -8.063 eV/atom; N(E_F) = 2.5 states/eV/cell
1.0
1.575 0.909 8.162
-1.575 0.909 8.162
0.000 -1.818 8.162
Ta Cr Te
1 2 1
direct
0.000 0.000 0.000 Ta
0.253 0.253 0.253 Cr
0.747 0.747 0.747 Cr
0.500 0.500 0.500 Te